No. 1
First-principles (PBE) data for an optimized crystal structure of Na2NpCl5, as listed in Alexandria.

The value obtained for the raw total energy is -4.84 eV/atom.

The space group is Pnma (No. 62) and the conventional cell measures 12.253, 8.361 and 7.887 Å, with angles of 90.00, 90.00 and 90.00 degrees. The distinct sites, in fractional coordinates, are Na at (0.174, 0.006, 0.016), Np at (0.004, 0.750, 0.577), Cl at (0.004, 0.750, 0.939), Cl at (0.092, 0.044, 0.662), Cl at (0.182, 0.750, 0.362) and Cl at (0.213, 0.250, 0.319).


No. 2
First-principles (PBE) data for an optimized crystal structure of CaSeBr2, as listed in Alexandria.

The value obtained for the energy above the lowest structure with this stoichiometry is 0.00 eV/f.u.

The space group is C2/m (No. 12) and the conventional cell measures 15.016, 3.989 and 4.696 Å, with angles of 90.00, 91.40 and 90.00 degrees. The distinct sites, in fractional coordinates, are Ca at (0.000, 0.000, 0.000), Se at (0.000, 0.500, 0.500) and Br at (0.143, 0.500, 0.185).


No. 3
First-principles (PBE) data for an optimized crystal structure of Nd2DyRh, as listed in Alexandria.

As for the energy of formation: -0.450 eV/atom. The value obtained for the energy above the lowest structure with this stoichiometry is 0.00 eV/f.u.

The space group is Pnma (No. 62) and the conventional cell measures 7.281, 9.954 and 6.362 Å, with angles of 90.00, 90.00 and 90.00 degrees. The distinct sites, in fractional coordinates, are Nd at (0.178, 0.066, 0.170), Dy at (0.037, 0.250, 0.651) and Rh at (0.123, 0.750, 0.946).


No. 4
First-principles (PBE) data for an optimized crystal structure of AlSnIrCl2, as listed in Alexandria.

The value obtained for the raw total energy is -3.84 eV/atom.

The space group is P4/mmm (No. 123) and the conventional cell measures 4.860, 4.860 and 4.976 Å, with angles of 90.00, 90.00 and 90.00 degrees. The distinct sites, in fractional coordinates, are Al at (0.000, 0.000, 0.000), Sn at (0.500, 0.500, 0.000), Ir at (0.000, 0.000, 0.500) and Cl at (0.000, 0.500, 0.500).